[1]
# PBE Ca2TcGe2, optimized geometry
# Total magnetic moment (μB per atom): 0.2293
# E_form (eV per atom): -0.275
data_Ca2TcGe2
_cell_length_a 6.8381
_cell_length_b 6.8381
_cell_length_c 4.5880
_cell_angle_alpha 90.00
_cell_angle_beta 90.00
_cell_angle_gamma 90.00
_symmetry_space_group_name_H-M 'P 4/m b m'
_symmetry_Int_Tables_number 127
_symmetry_space_group_name_Hall '-P 4 2ab'
loop_
_atom_site_label
_atom_site_type_symbol
_atom_site_fract_x
_atom_site_fract_y
_atom_site_fract_z
_atom_site_occupancy
Ca1 Ca 0.1750 0.3250 0.0000 1
Tc1 Tc 0.0000 0.0000 0.5000 1
Ge1 Ge 0.1390 0.6390 0.5000 1

[2]
# PBE Sr3Mo, optimized geometry
# ΔE to the lowest computed polymorph (eV per atom): 0.320
# Total magnetic moment (μB per atom): 0.0000
# E_form (eV per atom): 1.046
data_Sr3Mo
_cell_length_a 5.8924
_cell_length_b 5.8924
_cell_length_c 5.8924
_cell_angle_alpha 90.00
_cell_angle_beta 90.00
_cell_angle_gamma 90.00
_symmetry_space_group_name_H-M 'P m -3 m'
_symmetry_Int_Tables_number 221
_symmetry_space_group_name_Hall '-P 4 2 3'
loop_
_atom_site_label
_atom_site_type_symbol
_atom_site_fract_x
_atom_site_fract_y
_atom_site_fract_z
_atom_site_occupancy
Sr1 Sr 0.0000 0.0000 0.5000 1
Mo1 Mo 0.0000 0.0000 0.0000 1

[3]
# PBE SnPbCCl2, optimized geometry
# Total magnetic moment (μB per atom): 0.1864
# Formation energy from raw total energies (eV per formula unit): 3.0
data_SnPbCCl2
_cell_length_a 5.6612
_cell_length_b 5.6612
_cell_length_c 4.4079
_cell_angle_alpha 90.00
_cell_angle_beta 90.00
_cell_angle_gamma 90.00
_symmetry_space_group_name_H-M 'P 4/m m m'
_symmetry_Int_Tables_number 123
_symmetry_space_group_name_Hall '-P 4 2'
loop_
_atom_site_label
_atom_site_type_symbol
_atom_site_fract_x
_atom_site_fract_y
_atom_site_fract_z
_atom_site_occupancy
Sn1 Sn 0.0000 0.0000 0.0000 1
Pb1 Pb 0.5000 0.5000 0.5000 1
C1 C 0.0000 0.0000 0.5000 1
Cl1 Cl 0.0000 0.5000 0.0000 1

[4]
# PBE AgPbCl2, optimized geometry
# ΔE to the lowest computed polymorph (eV per atom): 0.019
# Total magnetic moment (μB per atom): 0.0000
# Formation energy from raw total energies (eV per formula unit): -1.9
data_AgPbCl2
_cell_length_a 3.5388
_cell_length_b 3.9762
_cell_length_c 7.8196
_cell_angle_alpha 90.00
_cell_angle_beta 102.23
_cell_angle_gamma 90.00
_symmetry_space_group_name_H-M 'P 1 2/m 1'
_symmetry_Int_Tables_number 10
loop_
_symmetry_equiv_pos_as_xyz
'x,y,z'
'-x,-y,-z'
'-x,y,-z'
'x,-y,z'
loop_
_atom_site_label
_atom_site_type_symbol
_atom_site_fract_x
_atom_site_fract_y
_atom_site_fract_z
_atom_site_occupancy
Ag1 Ag 0.0000 0.0000 0.0000 1
Pb1 Pb 0.0000 0.0000 0.5000 1
Cl1 Cl 0.1435 0.5000 0.7888 1

[5]
# PBE KLa3Rh, optimized geometry
# ΔE to the lowest computed polymorph (eV per atom): 0.000
# Total magnetic moment (μB per atom): 0.0000
# E_form (eV per atom): -0.141
data_KLa3Rh
_cell_length_a 5.8002
_cell_length_b 5.8002
_cell_length_c 5.8002
_cell_angle_alpha 90.00
_cell_angle_beta 90.00
_cell_angle_gamma 90.00
_symmetry_space_group_name_H-M 'P m -3 m'
_symmetry_Int_Tables_number 221
_symmetry_space_group_name_Hall '-P 4 2 3'
loop_
_atom_site_label
_atom_site_type_symbol
_atom_site_fract_x
_atom_site_fract_y
_atom_site_fract_z
_atom_site_occupancy
K1 K 0.0000 0.0000 0.0000 1
La1 La 0.0000 0.5000 0.5000 1
Rh1 Rh 0.5000 0.5000 0.5000 1

[6]
# PBE Sr2Li3InAg4, optimized geometry
# Total magnetic moment (μB per atom): 0.0000
# E_form (eV per atom): -0.232
data_Sr2Li3InAg4
_cell_length_a 4.6887
_cell_length_b 4.6887
_cell_length_c 10.8467
_cell_angle_alpha 90.00
_cell_angle_beta 90.00
_cell_angle_gamma 90.00
_symmetry_space_group_name_H-M 'P -4 m 2'
_symmetry_Int_Tables_number 115
loop_
_symmetry_equiv_pos_as_xyz
'x,y,z'
'y,-x,-z'
'-x,-y,z'
'-y,x,-z'
'-x,y,z'
'-y,-x,-z'
'x,-y,z'
'y,x,-z'
loop_
_atom_site_label
_atom_site_type_symbol
_atom_site_fract_x
_atom_site_fract_y
_atom_site_fract_z
_atom_site_occupancy
Sr1 Sr 0.0000 0.5000 0.2407 1
Li1 Li 0.0000 0.5000 0.8884 1
Li2 Li 0.5000 0.5000 0.5000 1
In1 In 0.0000 0.0000 0.5000 1
Ag1 Ag 0.0000 0.0000 0.0000 1
Ag2 Ag 0.0000 0.5000 0.6439 1
Ag3 Ag 0.5000 0.5000 0.0000 1

[7]
# PBE RbAlSb, optimized geometry
# ΔE to the lowest computed polymorph (eV per atom): 0.132
# Total magnetic moment (μB per atom): 0.0000
# Formation energy from raw total energies (eV per formula unit): -0.3
data_RbAlSb
_cell_length_a 4.4298
_cell_length_b 18.9896
_cell_length_c 5.2257
_cell_angle_alpha 90.00
_cell_angle_beta 90.00
_cell_angle_gamma 90.00
_symmetry_space_group_name_H-M 'C m c m'
_symmetry_Int_Tables_number 63
_symmetry_space_group_name_Hall '-C 2c 2'
loop_
_atom_site_label
_atom_site_type_symbol
_atom_site_fract_x
_atom_site_fract_y
_atom_site_fract_z
_atom_site_occupancy
Rb1 Rb 0.0000 0.1774 0.2500 1
Al1 Al 0.0000 0.0316 0.7500 1
Sb1 Sb 0.0000 0.3887 0.2500 1

[8]
# PBE GaFeNi, optimized geometry
# Total magnetic moment (μB per atom): 0.8214
# E_form (eV per atom): -0.108
data_GaFeNi
_cell_length_a 4.5772
_cell_length_b 7.7515
_cell_length_c 4.4359
_cell_angle_alpha 90.00
_cell_angle_beta 110.94
_cell_angle_gamma 90.00
_symmetry_space_group_name_H-M 'C 1 2 1'
_symmetry_Int_Tables_number 5
loop_
_symmetry_equiv_pos_as_xyz
'x,y,z'
'-x,y,-z'
'x+1/2,y+1/2,z'
'-x+1/2,y+1/2,-z'
loop_
_atom_site_label
_atom_site_type_symbol
_atom_site_fract_x
_atom_site_fract_y
_atom_site_fract_z
_atom_site_occupancy
Ga1 Ga 0.0000 0.0000 0.0000 1
Ga2 Ga 0.0000 0.3371 0.0000 1
Fe1 Fe 0.0000 0.1616 0.5000 1
Fe2 Fe 0.0000 0.8251 0.5000 1
Ni1 Ni 0.0000 0.4977 0.5000 1
Ni2 Ni 0.0000 0.6701 0.0000 1

[9]
# PBE Zr2PbSe, optimized geometry
# ΔE to the lowest computed polymorph (eV per atom): 0.040
# Total magnetic moment (μB per atom): 0.0000
# Formation energy from raw total energies (eV per formula unit): -2.3
data_Zr2PbSe
_cell_length_a 6.8778
_cell_length_b 3.9581
_cell_length_c 7.2147
_cell_angle_alpha 90.00
_cell_angle_beta 108.46
_cell_angle_gamma 90.00
_symmetry_space_group_name_H-M 'C 1 2/m 1'
_symmetry_Int_Tables_number 12
loop_
_symmetry_equiv_pos_as_xyz
'x,y,z'
'-x,-y,-z'
'-x,y,-z'
'x,-y,z'
'x+1/2,y+1/2,z'
'-x+1/2,-y+1/2,-z'
'-x+1/2,y+1/2,-z'
'x+1/2,-y+1/2,z'
loop_
_atom_site_label
_atom_site_type_symbol
_atom_site_fract_x
_atom_site_fract_y
_atom_site_fract_z
_atom_site_occupancy
Zr1 Zr 0.2351 0.0000 0.2049 1
Pb1 Pb 0.0000 0.0000 0.5000 1
Se1 Se 0.0000 0.5000 0.0000 1

[10]
# PBE In2Sb2Ru, optimized geometry
# Total magnetic moment (μB per atom): 0.0000
# Formation energy from raw total energies (eV per formula unit): 0.7
data_In2Sb2Ru
_cell_length_a 6.8369
_cell_length_b 6.8369
_cell_length_c 5.4953
_cell_angle_alpha 90.00
_cell_angle_beta 90.00
_cell_angle_gamma 90.00
_symmetry_space_group_name_H-M 'P 4/m b m'
_symmetry_Int_Tables_number 127
_symmetry_space_group_name_Hall '-P 4 2ab'
loop_
_atom_site_label
_atom_site_type_symbol
_atom_site_fract_x
_atom_site_fract_y
_atom_site_fract_z
_atom_site_occupancy
In1 In 0.1763 0.3237 0.0000 1
Sb1 Sb 0.1525 0.6525 0.5000 1
Ru1 Ru 0.0000 0.0000 0.5000 1

[11]
# PBE Cs5CdTeO2, optimized geometry
# Total magnetic moment (μB per atom): 0.0771
# Formation energy from raw total energies (eV per formula unit): -8.5
data_Cs5CdTeO2
_cell_length_a 6.0865
_cell_length_b 6.0865
_cell_length_c 10.3871
_cell_angle_alpha 90.00
_cell_angle_beta 90.00
_cell_angle_gamma 90.00
_symmetry_space_group_name_H-M 'P 4/m m m'
_symmetry_Int_Tables_number 123
_symmetry_space_group_name_Hall '-P 4 2'
loop_
_atom_site_label
_atom_site_type_symbol
_atom_site_fract_x
_atom_site_fract_y
_atom_site_fract_z
_atom_site_occupancy
Cs1 Cs 0.0000 0.0000 0.0000 1
Cs2 Cs 0.0000 0.5000 0.2595 1
Cd1 Cd 0.0000 0.0000 0.5000 1
Te1 Te 0.5000 0.5000 0.0000 1
O1 O 0.0000 0.0000 0.3029 1

[12]
# PBE Zr2CdSe, optimized geometry
# ΔE to the lowest computed polymorph (eV per atom): 0.000
# Total magnetic moment (μB per atom): 0.0000
# Formation energy from raw total energies (eV per formula unit): -2.2
data_Zr2CdSe
_cell_length_a 3.2554
_cell_length_b 3.2554
_cell_length_c 7.7894
_cell_angle_alpha 90.00
_cell_angle_beta 90.00
_cell_angle_gamma 90.00
_symmetry_space_group_name_H-M 'P 4/m m m'
_symmetry_Int_Tables_number 123
_symmetry_space_group_name_Hall '-P 4 2'
loop_
_atom_site_label
_atom_site_type_symbol
_atom_site_fract_x
_atom_site_fract_y
_atom_site_fract_z
_atom_site_occupancy
Zr1 Zr 0.0000 0.0000 0.2206 1
Cd1 Cd 0.5000 0.5000 0.5000 1
Se1 Se 0.5000 0.5000 0.0000 1

Number 1: calculated total energy -4.996 eV/atom, volume 214.5 Å³ per cell. Number 2: calculated total energy -2.923 eV/atom, volume 204.6 Å³ per cell. Number 3: calculated total energy -3.519 eV/atom, volume 141.3 Å³ per cell. Number 4: calculated total energy -3.041 eV/atom, volume 107.5 Å³ per cell. Number 5: calculated total energy -4.787 eV/atom, volume 195.1 Å³ per cell. Number 6: calculated total energy -2.557 eV/atom, volume 238.4 Å³ per cell. Number 7: calculated total energy -3.049 eV/atom, volume 439.6 Å³ per cell. Number 8: calculated total energy -5.865 eV/atom, volume 147.0 Å³ per cell. Number 9: calculated total energy -6.656 eV/atom, volume 186.3 Å³ per cell. Number 10: calculated total energy -4.457 eV/atom, volume 256.9 Å³ per cell. Number 11: calculated total energy -2.976 eV/atom, volume 384.8 Å³ per cell. Number 12: calculated total energy -5.916 eV/atom, volume 82.5 Å³ per cell.